# CoRhOF2 | the Alexandria database | PBE+U | optimized geometry
data_CoRhOF2
_space_group_name_H-M_alt 'P 1'
_space_group_IT_number 1
_cell_length_a 4.342
_cell_length_b 4.342
_cell_length_c 3.732
_cell_angle_alpha 90.00
_cell_angle_beta 90.00
_cell_angle_gamma 90.00
loop_
_space_group_symop_operation_xyz
'x,y,z'
loop_
_atom_site_label
_atom_site_fract_x
_atom_site_fract_y
_atom_site_fract_z
Co1 0.000 0.000 0.000
Rh1 0.500 0.500 0.500
O1 0.500 0.500 0.000
F1 0.000 0.500 0.500
F2 0.500 0.000 0.500
# Symmetry = P4/mmm (123)
# M_tot = 2.78 μB per cell
# Energy relative to the lowest polymorph listed for this composition = 118.8 meV per atom